{"formula": "AcCeErTh", "functional": "PBE", "state": "relaxed", "lattice": [[-0.321, -5.025, -2.824], [4.831, -2.783, -1.499], [1.450, -4.909, 2.670]], "species": ["Er", "Ac", "Th", "Ce"], "fractional_positions": [[0.750, 0.750, 0.750], [0.000, 0.000, 0.000], [0.500, 0.500, 0.500], [0.250, 0.250, 0.250]]}

{"formula": "AcCeEr2Tl4", "functional": "PBE", "state": "relaxed", "lattice": [[-3.200, 3.634, 2.648], [0.385, 0.538, 5.479], [5.394, 7.745, 1.641]], "species": ["Er", "Ac", "Tl", "Tl", "Er", "Tl", "Tl", "Ce"], "fractional_positions": [[0.249, 0.249, 0.252], [0.000, 0.000, 0.000], [0.378, 0.378, 0.865], [0.622, 0.622, 0.135], [0.751, 0.751, 0.748], [0.127, 0.127, 0.618], [0.873, 0.873, 0.382], [0.500, 0.500, 0.500]]}

{"formula": "AcCeYEr", "functional": "PBE", "state": "relaxed", "lattice": [[-4.743, -2.817, 1.878], [-1.231, -5.317, -2.042], [0.555, -4.652, 3.464]], "species": ["Ce", "Ac", "Y", "Er"], "fractional_positions": [[0.250, 0.250, 0.250], [0.750, 0.750, 0.750], [0.000, 0.000, 0.000], [0.500, 0.500, 0.500]]}

{"formula": "Ac2CeEu", "functional": "PBE", "state": "relaxed", "lattice": [[6.140, 0.000, 0.000], [3.070, 5.317, 0.000], [3.070, 1.772, 5.013]], "species": ["Eu", "Ce", "Ac", "Ac"], "fractional_positions": [[0.000, 0.000, 0.000], [0.500, 0.500, 0.500], [0.250, 0.250, 0.250], [0.750, 0.750, 0.750]]}

{"formula": "AcCeEu2", "functional": "PBE", "state": "relaxed", "e_above_lowest_polymorph_ev_per_atom": 0.0000, "lattice": [[4.292, 0.000, 0.000], [0.000, 4.292, 0.000], [0.000, 0.000, 8.643]], "species": ["Eu", "Eu", "Ac", "Ce"], "fractional_positions": [[0.000, 0.000, 0.269], [0.000, 0.000, 0.731], [0.500, 0.500, 0.000], [0.500, 0.500, 0.500]]}

{"formula": "AcCeEu2", "functional": "PBE", "state": "relaxed", "e_above_lowest_polymorph_ev_per_atom": 0.0169, "lattice": [[6.100, 0.000, 0.000], [3.050, 5.283, 0.000], [3.050, 1.761, 4.981]], "species": ["Ce", "Ac", "Eu", "Eu"], "fractional_positions": [[0.000, 0.000, 0.000], [0.500, 0.500, 0.500], [0.250, 0.250, 0.250], [0.750, 0.750, 0.750]]}

{"formula": "AcCeEuHg", "functional": "PBE", "state": "relaxed", "lattice": [[-4.887, -0.602, -2.899], [0.038, -2.354, -5.206], [-2.225, -5.202, -0.800]], "species": ["Ce", "Hg", "Eu", "Ac"], "fractional_positions": [[0.500, 0.500, 0.500], [0.750, 0.750, 0.750], [0.000, 0.000, 0.000], [0.250, 0.250, 0.250]]}

{"formula": "AcCeEuIn", "functional": "PBE", "state": "relaxed", "lattice": [[-0.857, -0.112, 5.674], [4.297, -1.438, 3.523], [2.422, 3.984, 3.347]], "species": ["Eu", "In", "Ce", "Ac"], "fractional_positions": [[0.500, 0.500, 0.500], [0.250, 0.250, 0.250], [0.000, 0.000, 0.000], [0.750, 0.750, 0.750]]}

no.,formation energy from the elements (eV/f.u.)
1,1.0
2,-2.2
3,0.7
4,0.8
5,0.7
6,0.8
7,0.4
8,0.1